VASP calculation (PBE with a Hubbard U) on a relaxed structure of VCoO.

## Properties
N(E_F) = 3.18 states/eV/cell
V = 12.10 Å³/atom
Magnetization = 1.9 μB/f.u.
E_tot = -0.226 Ha/atom
SG = No. 36

Cell: 2.8626 11.1785 4.5386 Å, 90.00 90.00 90.00°
Last column: magnetic moment on the atom in μB.
Fractional coordinates of all 12 atoms:
V  0.5000  0.8546  0.9740  -0.18
V  0.5000  0.1454  0.4740  -0.18
V  0.0000  0.3546  0.9740  -0.18
V  0.0000  0.6454  0.4740  -0.18
O  0.0000  0.2072  0.2030  0.04
O  0.0000  0.7928  0.7030  0.04
O  0.5000  0.2928  0.7030  0.04
O  0.5000  0.7072  0.2030  0.04
Co  0.5000  0.4523  0.4976  2.12
Co  0.0000  0.9523  0.4976  2.12
Co  0.5000  0.5477  0.9976  2.12
Co  0.0000  0.0477  0.9976  2.12